This record from Alexandria via LeMat-Bulk describes a crystal of PdRuN2 relaxed with PBEsol. The functional is SCAN.

a b c (Å): 2.8130 2.8130 19.0374
angles (deg): 90.00 90.00 120.00
Space group R-3m (No. 166, hexagonal axes)
Symmetry-distinct sites (fractional):
1 Pd 0.0000 0.0000 0.0000
2 Ru 0.0000 0.0000 0.5000
3 N 0.0000 0.0000 0.1022

## Properties
The value obtained for the formation energy (no corrections) is 0.431 eV/atom. The value obtained for the excess energy over the best structure of this formula in the dataset is 0 meV/atom. The crystal system is trigonal. The value obtained for the total magnetic moment is 0.0 μB/cell. For the total energy, the calculation gives -21.114 eV per atom.



This record from Alexandria via LeMat-Bulk describes a crystal of PdRuSe2N relaxed with PBEsol. The functional is SCAN.

a b c (Å): 4.957 4.957 3.525
angles (deg): 90.00 90.00 90.00
Space group P4/mmm (No. 123)
Symmetry-distinct sites (fractional):
1 Pd 0.000 0.000 0.000
2 Ru 0.500 0.500 0.500
3 Se 0.000 0.500 0.000
4 N 0.000 0.000 0.500

## Properties
The value obtained for the formation energy (no corrections) is 1.152 eV/atom. The crystal system is tetragonal. The value obtained for the total magnetic moment is 2.1 μB/cell. For the total energy, the calculation gives -22.257 eV per atom.



This record from Alexandria via LeMat-Bulk describes a crystal of SiPd2RuN relaxed with PBEsol. The functional is SCAN.

a b c (Å): 4.050 4.050 3.840
angles (deg): 90.00 90.00 90.00
Space group P4/mmm (No. 123)
Symmetry-distinct sites (fractional):
1 Si 0.000 0.000 0.000
2 Pd 0.000 0.500 0.500
3 Ru 0.500 0.500 0.000
4 N 0.000 0.000 0.500

## Properties
The value obtained for the formation energy (no corrections) is 0.468 eV/atom. The crystal system is tetragonal. The value obtained for the total magnetic moment is 0.0 μB/cell. For the total energy, the calculation gives -23.468 eV per atom.



This record from Alexandria via LeMat-Bulk describes a crystal of SbPdSN2 relaxed with PBEsol. The functional is SCAN.

a b c (Å): 3.954 3.954 4.796
angles (deg): 90.00 90.00 90.00
Space group P4/mmm (No. 123)
Symmetry-distinct sites (fractional):
1 Sb 0.000 0.000 0.000
2 Pd 0.500 0.500 0.500
3 S 0.500 0.500 0.000
4 N 0.000 0.500 0.500

## Properties
The value obtained for the formation energy (no corrections) is 1.214 eV/atom. The crystal system is tetragonal. The value obtained for the total magnetic moment is 2.2 μB/cell. For the total energy, the calculation gives -18.435 eV per atom.